Compound: NdDy6Tm4
Source: Alexandria
Functional: GGA-PBE
Structure: relaxed

**E above lowest polymorph**: 305 meV/atom
**DFT total energy**: -45.56 eV for the cell shown
**Space group**: I-42m (121)
**Theoretical density**: 8.00 Mg/m³

Cell lengths 7.475, 7.475, 8.509 Å; angles 116.06, 116.06, 90.00 degrees
Element x y z (fractional)
Nd (0.500, 0.500, 0.000)
Dy (0.923, 0.450, 0.373)
Dy (0.450, 0.923, 0.373)
Dy (0.550, 0.550, 0.627)
Dy (0.000, 0.500, 0.000)
Dy (0.077, 0.077, 0.627)
Dy (0.500, 0.000, 0.000)
Tm (0.079, 0.760, 0.839)
Tm (0.921, 0.921, 0.161)
Tm (0.760, 0.079, 0.839)
Tm (0.240, 0.240, 0.161)